w) Computed, not measured: LiRe2W at its PBEsol-relaxed geometry at the SCAN level of DFT.

The structure in POSCAR format:
```
LiRe2W
1.0
1.3740 0.7933 9.2142
-1.3740 0.7933 9.2142
0.0000 -1.5865 9.2142
Li Re W
1 2 1
Direct
0.0000 0.0000 0.0000
0.2474 0.2474 0.2474
0.7526 0.7526 0.7526
0.5000 0.5000 0.5000
```

total magnetic moment	0.00	Bohr magnetons per cell

---

x) Computed, not measured: LiRe2W at its PBEsol-relaxed geometry at the SCAN level of DFT.

The structure in POSCAR format:
```
LiRe2W
1.0
4.3980 -1.3090 0.0000
4.3980 1.3090 0.0000
-0.3118 0.0000 5.0036
Li Re W
1 2 1
Direct
0.0000 0.0000 0.0000
0.2483 0.2483 0.7625
0.7517 0.7517 0.2374
0.5000 0.5000 0.5000
```

total magnetic moment	0.00	Bohr magnetons per cell

---

Which of them is most stable? Easy: x).

---

w) Computed, not measured: LiReW2 at its PBEsol-relaxed geometry at the SCAN level of DFT.

The structure in POSCAR format:
```
LiReW2
1.0
2.6895 -4.3777 0.0000
2.6895 4.3777 0.0000
-0.8570 0.0000 2.4877
Li Re W
1 1 2
Direct
0.0000 0.0000 0.0000
0.5000 0.5000 0.0000
0.0000 0.5000 0.5000
0.5000 0.0000 0.5000
```

total magnetic moment	0.00	Bohr magnetons per cell

---

x) Computed, not measured: LiReW2 at its PBEsol-relaxed geometry at the SCAN level of DFT.

The structure in POSCAR format:
```
LiReW2
1.0
-1.5413 2.1853 4.3577
1.5413 -2.1853 4.3577
1.5413 2.1853 -4.3577
Li Re W
1 1 2
Direct
0.0000 0.0000 0.0000
0.5000 0.5000 0.0000
0.2609 0.7609 0.5000
0.7391 0.2391 0.5000
```

total magnetic moment	0.00	Bohr magnetons per cell

---

Which of them is most stable? Easy: w).

---

w) Computed, not measured: LiYRe at its PBEsol-relaxed geometry at the SCAN level of DFT.

The structure in POSCAR format:
```
LiYRe
1.0
0.0000 2.3371 7.4004
1.6242 0.0000 7.4004
1.6242 2.3371 0.0000
Li Y Re
1 1 1
Direct
0.0000 0.0000 0.0000
0.2975 0.2975 0.7025
0.6447 0.6447 0.3553
```

total magnetic moment	0.00	Bohr magnetons per cell

---

x) Computed, not measured: LiYRe at its PBEsol-relaxed geometry at the SCAN level of DFT.

The structure in POSCAR format:
```
LiYRe
1.0
0.0000 3.2272 3.2272
3.2272 0.0000 3.2272
3.2272 3.2272 0.0000
Li Y Re
1 1 1
Direct
0.0000 0.0000 0.0000
0.2500 0.2500 0.2500
0.5000 0.5000 0.5000
```

total magnetic moment	2.59	Bohr magnetons per cell

---

y) Computed, not measured: LiYRe at its PBEsol-relaxed geometry at the SCAN level of DFT.

The structure in POSCAR format:
```
LiYRe
1.0
4.7410 0.0000 0.0000
-2.3705 4.1058 0.0000
0.0000 0.0000 2.7514
Li Y Re
1 1 1
Direct
0.0000 0.0000 0.0000
0.6667 0.3333 0.5463
0.3333 0.6667 0.0609
```

total magnetic moment	0.00	Bohr magnetons per cell

---

Which of them is most stable? Easy: y).

---

w) Computed, not measured: LiZr2Re at its PBEsol-relaxed geometry at the SCAN level of DFT.

The structure in POSCAR format:
```
LiZr2Re
1.0
0.0000 3.2760 3.2760
3.2760 0.0000 3.2760
3.2760 3.2760 0.0000
Li Zr Re
1 2 1
Direct
0.0000 0.0000 0.0000
0.2500 0.2500 0.2500
0.7500 0.7500 0.7500
0.5000 0.5000 0.5000
```

total magnetic moment	0.00	Bohr magnetons per cell

---

x) Computed, not measured: LiZr2Re at its PBEsol-relaxed geometry at the SCAN level of DFT.

The structure in POSCAR format:
```
LiZr2Re
1.0
2.8506 0.0000 0.0000
0.0000 4.2312 0.0000
-1.0923 0.0000 6.1116
Li Zr Re
1 2 1
Direct
0.0000 0.0000 0.0000
0.4017 0.5000 0.7304
0.5983 0.5000 0.2696
0.0000 0.0000 0.5000
```

total magnetic moment	0.00	Bohr magnetons per cell

---

Which of them is most stable? Easy: w).

---

w) Computed, not measured: SrLi2Rh at its PBEsol-relaxed geometry at the SCAN level of DFT.

The structure in POSCAR format:
```
SrLi2Rh
1.0
5.5518 -1.6972 0.0000
5.5518 1.6972 0.0000
-2.1167 0.0000 4.4310
Sr Li Rh
1 2 1
Direct
0.0000 0.0000 0.0000
0.2017 0.2017 0.6985
0.7983 0.7983 0.3015
0.5000 0.5000 0.5000
```

total magnetic moment	0.00	Bohr magnetons per cell

---

x) Computed, not measured: SrLi2Rh at its PBEsol-relaxed geometry at the SCAN level of DFT.

The structure in POSCAR format:
```
SrLi2Rh
1.0
4.1818 0.0000 0.0000
0.0000 4.1818 0.0000
0.0000 0.0000 4.5441
Sr Li Rh
1 2 1
Direct
0.0000 0.0000 0.0000
0.0000 0.5000 0.5000
0.5000 0.0000 0.5000
0.5000 0.5000 0.0000
```

total magnetic moment	0.00	Bohr magnetons per cell

---

y) Computed, not measured: SrLi2Rh at its PBEsol-relaxed geometry at the SCAN level of DFT.

The structure in POSCAR format:
```
SrLi2Rh
1.0
2.1769 1.2568 5.1252
-2.1769 1.2568 5.1252
0.0000 -2.5136 5.1252
Sr Li Rh
1 2 1
Direct
0.0000 0.0000 0.0000
0.1913 0.1913 0.1913
0.4852 0.4852 0.4852
0.7950 0.7950 0.7950
```

total magnetic moment	0.01	Bohr magnetons per cell

---

z) Computed, not measured: SrLi2Rh at its PBEsol-relaxed geometry at the SCAN level of DFT.

The structure in POSCAR format:
```
SrLi2Rh
1.0
3.5510 0.0000 0.0000
0.0000 4.1259 0.0000
-1.7306 0.0000 6.1083
Sr Li Rh
1 2 1
Direct
0.0000 0.0000 0.0000
0.2887 0.0000 0.5656
0.7440 0.5000 0.4769
0.3961 0.5000 0.7881
```

total magnetic moment	0.02	Bohr magnetons per cell

---

Which of them is most stable? Easy: y).

---

w) Computed, not measured: Li2TaRh at its PBEsol-relaxed geometry at the SCAN level of DFT.

The structure in POSCAR format:
```
Li2TaRh
1.0
1.4263 -2.2248 0.0000
1.4263 2.2248 0.0000
0.0000 0.0000 9.4586
Li Ta Rh
2 1 1
Direct
0.0000 0.0000 0.2217
0.0000 0.0000 0.7783
0.5000 0.5000 0.5000
0.5000 0.5000 0.0000
```

total magnetic moment	0.36	Bohr magnetons per cell

---

x) Computed, not measured: Li2TaRh at its PBEsol-relaxed geometry at the SCAN level of DFT.

The structure in POSCAR format:
```
Li2TaRh
1.0
3.2106 0.0000 0.0000
0.0000 3.2106 0.0000
0.0000 0.0000 5.1692
Li Ta Rh
2 1 1
Direct
0.0000 0.0000 0.2159
0.0000 0.0000 0.7841
0.5000 0.5000 0.5000
0.5000 0.5000 0.0000
```

total magnetic moment	0.00	Bohr magnetons per cell

---

y) Computed, not measured: Li2TaRh at its PBEsol-relaxed geometry at the SCAN level of DFT.

The structure in POSCAR format:
```
Li2TaRh
1.0
2.7519 0.0000 0.0000
0.0000 4.8167 0.0000
-0.2096 0.0000 4.5305
Li Ta Rh
2 1 1
Direct
0.2003 0.0000 0.2668
0.7997 0.0000 0.7332
0.5000 0.5000 0.0000
0.0000 0.5000 0.5000
```

total magnetic moment	0.00	Bohr magnetons per cell

---

Which of them is most stable? Easy: y).